(1)
KAl2Ge2 | GGA-PBEsol | relaxed

- N(E_F): 0.381 states/eV per atom
- Formation energy: -0.123 eV/atom
- SG: I4/mmm

Unit cell a=7.987 b=7.987 c=7.987 alpha=151.11 beta=151.11 gamma=41.31
Positions (direct):
K 0.000 0.000 0.000
Al 0.250 0.750 0.500
Al 0.750 0.250 0.500
Ge 0.363 0.363 0.000
Ge 0.637 0.637 0.000

---

(2)
ScCrNi | GGA-PBEsol | relaxed

- N(E_F): 0.889 states/eV per atom
- Relative energy among the computed polymorphs: 0.000 eV per atom
- Formation energy: 0.118 eV/atom
- SG: I4mm

Unit cell a=5.704 b=5.704 c=5.704 alpha=151.64 beta=151.64 gamma=40.55
Positions (direct):
Sc 0.000 0.000 0.000
Cr 0.688 0.688 0.000
Ni 0.310 0.310 0.000

---

(3)
Li3TlBi | GGA-PBEsol | relaxed

- N(E_F): 0.470 states/eV per atom
- Formation energy: -0.105 eV/atom
- SG: Pm-3m

Unit cell a=5.220 b=5.220 c=5.220 alpha=90.00 beta=90.00 gamma=90.00
Positions (direct):
Li 0.000 0.000 0.500
Li 0.000 0.500 0.000
Li 0.500 0.000 0.000
Tl 0.500 0.500 0.500
Bi 0.000 0.000 0.000

---

(4)
Sr3GeW | GGA-PBEsol | relaxed

- N(E_F): 0.982 states/eV per atom
- Relative energy among the computed polymorphs: 0.000 eV per atom
- Formation energy: 1.054 eV/atom
- SG: Pm-3m

Unit cell a=5.916 b=5.916 c=5.916 alpha=90.00 beta=90.00 gamma=90.00
Positions (direct):
Sr 0.000 0.000 0.500
Sr 0.000 0.500 0.000
Sr 0.500 0.000 0.000
Ge 0.000 0.000 0.000
W 0.500 0.500 0.500

---

(5)
InAgS2 | GGA-PBEsol | relaxed

- Calculated total energy: -4.1314 eV per atom
- SG: R3m

Unit cell a=7.074 b=7.074 c=7.074 alpha=31.31 beta=31.31 gamma=31.31
Positions (direct):
In 0.000 0.000 0.000
Ag 0.850 0.850 0.850
S 0.255 0.255 0.255
S 0.732 0.732 0.732

---

(6)
CuPt2Rh | GGA-PBEsol | relaxed

- N(E_F): 1.014 states/eV per atom
- Formation energy: -0.091 eV/atom
- SG: Cmmm

Unit cell a=4.661 b=4.661 c=2.695 alpha=90.00 beta=90.00 gamma=109.60
Positions (direct):
Cu 0.000 0.000 0.000
Pt 0.000 0.500 0.500
Pt 0.500 0.000 0.500
Rh 0.500 0.500 0.000

---

(7)
MgIn2Ir | GGA-PBEsol | relaxed

- N(E_F): 0.628 states/eV per atom
- Formation energy: 0.042 eV/atom
- SG: R-3m

Unit cell a=9.233 b=9.233 c=9.233 alpha=19.80 beta=19.80 gamma=19.80
Positions (direct):
Mg 0.000 0.000 0.000
In 0.242 0.242 0.242
In 0.758 0.758 0.758
Ir 0.500 0.500 0.500

---

(8)
NaTaMoAu2 | GGA-PBEsol | relaxed

- N(E_F): 0.625 states/eV per atom
- Formation energy: 1.927 eV/atom
- SG: P4/mmm

Unit cell a=4.974 b=4.974 c=5.253 alpha=90.00 beta=90.00 gamma=90.00
Positions (direct):
Na 0.000 0.000 0.000
Ta 0.000 0.000 0.500
Mo 0.500 0.500 0.000
Au 0.000 0.500 0.500
Au 0.500 0.000 0.500

---

Ordered total moment results: 0.0, 0.0, 0.0, 5.8, 0.0, 0.0, 0.0, 3.2; unit μB/cell.